Record 1
The following is a DFT calculation (GGA-PBE) of Dy2YEr4Cu2Te2 after structural relaxation.

Results
- space group = Imm2 (44)
- magnetic moment (μB per cell) = 0.2

a = 9.2978 Å, b = 9.2978 Å, c = 9.2978 Å
α = 155.40°, β = 67.59°, γ = 118.16°
Last column: nearest neighbours and their distance in Å.
Positions (direct):
Dy 0.1296 0.0000 0.1296  2 Cu 2.88, 3 Te 3.11-3.17
Dy 0.8704 0.0000 0.8704  2 Cu 2.88, 3 Te 3.11-3.17
Y 0.5867 0.5867 0.0000  3 Te 3.19-3.22
Er 0.2049 0.8483 0.3566  2 Cu 2.88, 2 Te 3.12
Er 0.4918 0.8483 0.6434  2 Cu 2.88, 2 Te 3.12
Er 0.5181 0.2048 0.3133  3 Cu 2.82-3.15
Er 0.8915 0.2048 0.6867  3 Cu 2.82-3.15
Cu 0.2745 0.5097 0.7647  5 Er 2.82-3.15, 2 Dy 2.88
Cu 0.7450 0.5097 0.2353  5 Er 2.82-3.15, 2 Dy 2.88
Te 0.2495 0.2495 0.0000  2 Dy 3.11, 4 Er 3.12, 1 Y 3.22
Te 0.8478 0.3478 0.5000  4 Dy 3.17, 2 Y 3.19, 2 Er 3.19



Record 2
The following is a DFT calculation (GGA-PBE) of Tb2ErAl3AgIr2 after structural relaxation.

Results
- space group = Amm2 (38)
- magnetic moment (μB per cell) = 0.0

a = 4.1411 Å, b = 7.0396 Å, c = 7.0396 Å
α = 119.52°, β = 90.00°, γ = 90.00°
Last column: nearest neighbours and their distance in Å.
Positions (direct):
Tb 0.0000 0.2107 0.7893  4 Ir 2.97, 1 Ag 2.98, 6 Al 3.08-3.32
Tb 0.0000 0.7893 0.2107  4 Ir 2.97, 1 Ag 2.98, 6 Al 3.08-3.32
Er 0.0000 0.6316 0.6316  4 Ir 2.93, 1 Ag 2.96, 2 Al 3.11
Al 0.5000 0.2102 0.4642  2 Ir 2.68-2.70, 2 Ag 2.73
Al 0.5000 0.4642 0.2102  2 Ir 2.68-2.70, 2 Ag 2.73
Al 0.5000 0.9582 0.9582  2 Ir 2.66, 2 Ag 2.76
Ag 0.0000 0.2145 0.2145  6 Al 2.73-2.76, 1 Er 2.96, 2 Tb 2.98
Ir 0.5000 0.5459 0.8735  3 Al 2.66-2.70, 2 Er 2.93, 4 Tb 2.97
Ir 0.5000 0.8735 0.5459  3 Al 2.66-2.70, 2 Er 2.93, 4 Tb 2.97



Record 3
The following is a DFT calculation (GGA-PBE) of ThCoHg after structural relaxation.

Results
- space group = Cmcm (63)
- magnetic moment (μB per cell) = 0.0

a = 8.9171 Å, b = 8.9171 Å, c = 3.9588 Å
α = 90.00°, β = 90.00°, γ = 156.09°
Last column: nearest neighbours and their distance in Å.
Positions (direct):
Th 0.0878 0.9122 0.7500  6 Co 2.77-3.09
Th 0.9122 0.0878 0.2500  6 Co 2.77-3.09
Co 0.4460 0.5540 0.7500  1 Hg 2.68, 2 Co 2.73, 4 Th 2.77
Co 0.5540 0.4460 0.2500  1 Hg 2.68, 2 Co 2.73, 4 Th 2.77
Hg 0.2922 0.7078 0.7500  1 Co 2.68
Hg 0.7078 0.2922 0.2500  1 Co 2.68



Record 4
The following is a DFT calculation (GGA-PBE) of PmLuNi after structural relaxation.

Results
- energy relative to the lowest polymorph listed for this composition (meV per atom) = 0.0
- space group = F-43m (216)
- magnetic moment (μB per cell) = 0.0

a = 4.7374 Å, b = 4.7374 Å, c = 4.7374 Å
α = 60.00°, β = 60.00°, γ = 60.00°
Last column: nearest neighbours and their distance in Å.
Positions (direct):
Pm 0.0000 0.0000 0.0000  4 Ni 2.90
Lu 0.5000 0.5000 0.5000  4 Ni 2.90
Ni 0.7500 0.7500 0.7500  4 Pm 2.90, 4 Lu 2.90



Record 5
The following is a DFT calculation (GGA-PBE) of PuTlAs after structural relaxation.

Results
- energy relative to the lowest polymorph listed for this composition (meV per atom) = 0.0
- space group = F-43m (216)
- magnetic moment (μB per cell) = 6.0

a = 4.9266 Å, b = 4.9266 Å, c = 4.9266 Å
α = 60.00°, β = 60.00°, γ = 60.00°
Last column: nearest neighbours and their distance in Å.
Positions (direct):
Pu 0.0000 0.0000 0.0000  4 As 3.02
Tl 0.5000 0.5000 0.5000  4 As 3.02
As 0.2500 0.2500 0.2500  4 Tl 3.02, 4 Pu 3.02



Record 6
The following is a DFT calculation (GGA-PBE) of Pr2Y2CBr2Cl3 after structural relaxation.

Results
- energy relative to the lowest polymorph listed for this composition (meV per atom) = 0.0
- space group = C2/m (12)
- magnetic moment (μB per cell) = 0.0

a = 9.1823 Å, b = 9.1823 Å, c = 8.2056 Å
α = 103.03°, β = 103.03°, γ = 24.38°
Last column: nearest neighbours and their distance in Å.
Positions (direct):
Pr 0.0004 0.0004 0.2157  2 C 2.62, 1 Cl 2.88
Pr 0.9996 0.9996 0.7843  2 C 2.62, 1 Cl 2.88
Y 0.3615 0.3615 0.9262  1 C 2.42
Y 0.6385 0.6385 0.0738  1 C 2.42
C 0.5000 0.5000 0.0000  2 Y 2.42, 4 Pr 2.62
Br 0.1745 0.1745 0.8377  2 Y 2.92, 1 Pr 3.07
Br 0.8255 0.8255 0.1623  2 Y 2.92, 1 Pr 3.07
Cl 0.1653 0.1653 0.3146  2 Y 2.73, 1 Pr 2.88
Cl 0.5000 0.5000 0.5000  4 Pr 3.03
Cl 0.8347 0.8347 0.6854  2 Y 2.73, 1 Pr 2.88



Record 7
The following is a DFT calculation (GGA-PBE) of TmLuBi after structural relaxation.

Results
- space group = F-43m (216)
- magnetic moment (μB per cell) = 0.2

a = 5.0876 Å, b = 5.0876 Å, c = 5.0876 Å
α = 60.00°, β = 60.00°, γ = 60.00°
Last column: nearest neighbours and their distance in Å.
Positions (direct):
Tm 0.0000 0.0000 0.0000  4 Bi 3.12
Lu 0.5000 0.5000 0.5000  4 Bi 3.12
Bi 0.7500 0.7500 0.7500  4 Tm 3.12, 4 Lu 3.12



Record 8
The following is a DFT calculation (GGA-PBE) of CdTcPb after structural relaxation.

Results
- energy relative to the lowest polymorph listed for this composition (meV per atom) = 0.0
- space group = F-43m (216)
- magnetic moment (μB per cell) = 0.4

a = 4.6143 Å, b = 4.6143 Å, c = 4.6143 Å
α = 60.00°, β = 60.00°, γ = 60.00°
Last column: nearest neighbours and their distance in Å.
Positions (direct):
Cd 0.0000 0.0000 0.0000  4 Tc 2.83
Tc 0.2500 0.2500 0.2500  4 Pb 2.83, 4 Cd 2.83
Pb 0.5000 0.5000 0.5000  4 Tc 2.83



Record 9
The following is a DFT calculation (GGA-PBE) of Co2Ge3Mo2 after structural relaxation.

Results
- space group = R3m (160)
- magnetic moment (μB per cell) = 1.9

a = 7.3934 Å, b = 7.3934 Å, c = 7.3934 Å
α = 32.78°, β = 32.78°, γ = 32.78°
Last column: nearest neighbours and their distance in Å.
Positions (direct):
Co 0.0000 0.0000 0.0000  5 Ge 2.48-2.53
Co 0.4836 0.4836 0.4836  7 Ge 2.49-2.75
Ge 0.1207 0.1207 0.1207  4 Co 2.49-2.53, 4 Mo 2.59-2.61
Ge 0.3609 0.3609 0.3609  4 Mo 2.45-2.59, 4 Co 2.48-2.57
Ge 0.8803 0.8803 0.8803  3 Mo 2.49, 4 Co 2.51-2.75
Mo 0.2441 0.2441 0.2441  5 Ge 2.45-2.59
Mo 0.7399 0.7399 0.7399  6 Ge 2.59-2.61, 6 Co 2.86-2.90



Record 10
The following is a DFT calculation (GGA-PBE) of HfZn22 after structural relaxation.

Results
- space group = Fd-3m (227)
- magnetic moment (μB per cell) = 0.0

a = 9.9633 Å, b = 9.9633 Å, c = 9.9633 Å
α = 60.00°, β = 60.00°, γ = 60.00°
Last column: nearest neighbours and their distance in Å.
Positions (direct):
Hf 0.1250 0.1250 0.1250  16 Zn 3.02-3.05
Hf 0.8750 0.8750 0.8750  16 Zn 3.02-3.05
Zn 0.0000 0.0000 0.0000  12 Zn 2.96, 2 Hf 3.05
Zn 0.0000 0.0000 0.5000  12 Zn 2.96, 2 Hf 3.05
Zn 0.0000 0.5000 0.0000  12 Zn 2.96, 2 Hf 3.05
Zn 0.0000 0.5000 0.5000  6 Zn 2.50
Zn 0.0573 0.3198 0.3198  7 Zn 2.53-2.82
Zn 0.0573 0.3198 0.8031  7 Zn 2.53-2.82
Zn 0.0573 0.8031 0.3198  7 Zn 2.53-2.82
Zn 0.1969 0.6802 0.6802  7 Zn 2.53-2.82
Zn 0.1969 0.6802 0.9427  7 Zn 2.53-2.82
Zn 0.1969 0.9427 0.6802  7 Zn 2.53-2.82
Zn 0.2370 0.2370 0.5130  8 Zn 2.50-2.75
Zn 0.2370 0.5130 0.2370  8 Zn 2.50-2.75
Zn 0.2370 0.5130 0.5130  8 Zn 2.50-2.75
Zn 0.3198 0.0573 0.3198  7 Zn 2.53-2.82
Zn 0.3198 0.0573 0.8031  7 Zn 2.53-2.82
Zn 0.3198 0.3198 0.0573  7 Zn 2.53-2.82
Zn 0.3198 0.3198 0.8031  7 Zn 2.53-2.82
Zn 0.3198 0.8031 0.0573  7 Zn 2.53-2.82
Zn 0.3198 0.8031 0.3198  7 Zn 2.53-2.82
Zn 0.4870 0.4870 0.7630  8 Zn 2.50-2.75
Zn 0.4870 0.7630 0.4870  8 Zn 2.50-2.75
Zn 0.4870 0.7630 0.7630  8 Zn 2.50-2.75
Zn 0.5000 0.0000 0.0000  12 Zn 2.96, 2 Hf 3.05
Zn 0.5000 0.0000 0.5000  6 Zn 2.50
Zn 0.5000 0.5000 0.0000  6 Zn 2.50
Zn 0.5000 0.5000 0.5000  6 Zn 2.50
Zn 0.5130 0.2370 0.2370  8 Zn 2.50-2.75
Zn 0.5130 0.2370 0.5130  8 Zn 2.50-2.75
Zn 0.5130 0.5130 0.2370  8 Zn 2.50-2.75
Zn 0.6802 0.1969 0.6802  7 Zn 2.53-2.82
Zn 0.6802 0.1969 0.9427  7 Zn 2.53-2.82
Zn 0.6802 0.6802 0.1969  7 Zn 2.53-2.82
Zn 0.6802 0.6802 0.9427  7 Zn 2.53-2.82
Zn 0.6802 0.9427 0.1969  7 Zn 2.53-2.82
Zn 0.6802 0.9427 0.6802  7 Zn 2.53-2.82
Zn 0.7630 0.4870 0.4870  8 Zn 2.50-2.75
Zn 0.7630 0.4870 0.7630  8 Zn 2.50-2.75
Zn 0.7630 0.7630 0.4870  8 Zn 2.50-2.75
Zn 0.8031 0.0573 0.3198  7 Zn 2.53-2.82
Zn 0.8031 0.3198 0.0573  7 Zn 2.53-2.82
Zn 0.8031 0.3198 0.3198  7 Zn 2.53-2.82
Zn 0.9427 0.1969 0.6802  7 Zn 2.53-2.82
Zn 0.9427 0.6802 0.1969  7 Zn 2.53-2.82
Zn 0.9427 0.6802 0.6802  7 Zn 2.53-2.82



| no. | total DFT energy (no corrections) (eV per cell) |
| --- | --- |
| 1 | -54.05 |
| 2 | -52.05 |
| 3 | -31.70 |
| 4 | -15.29 |
| 5 | -21.82 |
| 6 | -56.48 |
| 7 | -13.45 |
| 8 | -12.83 |
| 9 | -48.00 |
| 10 | -77.45 |